A plane-wave DFT calculation with PBE was carried out for a geometry-optimized GaReMo structure.

```
GaReMo
1.0
-2.8369 0.8445 1.0822
-0.9980 -2.9748 -0.2947
3.2827 0.1845 3.8726
Mo Re Ga
1 1 1
Direct
0.3271 0.3271 0.6542
0.6709 0.6709 0.3419
0.0020 0.0020 0.0039
```

M_tot	0.00	μB/f.u.
space-group type	No. 107
energy relative to the lowest polymorph listed for this composition	0.0	meV/atom
energy of formation	-0.052	eV/atom
mass density	12.89	g cm⁻³